[1]
Here is an optimized crystal structure of CePr12Er3 from Alexandria via LeMat-Bulk. Energies are from PBE.

Calculated values
Symmetry   P4/mmm, No. 123
ΔH_f (0 K)   31 meV per atom
Magnetic moment   1.15 μB/cell

abc: 5.1862 5.1862 20.7105
angles: 90.00 90.00 90.00
Atoms (fractional coordinates):
Pr  0.5000  0.5000  0.7483
Er  0.0000  0.0000  0.2502
Pr  0.5000  0.0000  0.8754
Pr  0.0000  0.5000  0.6250
Pr  0.0000  0.5000  0.1246
Pr  0.5000  0.5000  0.2517
Er  0.0000  0.0000  0.7498
Ce  0.0000  0.0000  0.0000
Pr  0.5000  0.0000  0.3750
Pr  0.5000  0.0000  0.6250
Pr  0.0000  0.5000  0.3750
Er  0.0000  0.0000  0.5000
Pr  0.0000  0.5000  0.8754
Pr  0.5000  0.0000  0.1246
Pr  0.5000  0.5000  0.0000
Pr  0.5000  0.5000  0.5000

***

[2]
Here is an optimized crystal structure of CePr8Er4 from Alexandria via LeMat-Bulk. Energies are from PBE.

Calculated values
Symmetry   R-3m, No. 166
ΔH_f (0 K)   151 meV per atom
Magnetic moment   0.00 μB/cell

abc: 7.4291 7.4291 10.2233
angles: 90.00 111.31 120.00
Atoms (fractional coordinates):
Pr  0.4419  0.2210  0.6629
Er  0.0000  0.0000  0.0000
Er  0.5000  0.0000  0.0000
Pr  0.5103  0.2551  0.3055
Pr  0.9497  0.2048  0.6945
Er  0.5000  0.5000  0.0000
Er  0.0000  0.5000  0.0000
Pr  0.0503  0.2551  0.3055
Ce  0.0000  0.5000  0.5000
Pr  0.4897  0.7449  0.6945
Pr  0.9497  0.7449  0.6945
Pr  0.0503  0.7952  0.3055
Pr  0.5581  0.7790  0.3371